# 1
Tm2MnCd: relaxed, PBE.

Properties
* DFT formation energy: -0.1002 eV/atom
* energy above the lowest structure with this stoichiometry: 0.000 eV/atom
* DOS at the Fermi energy: 3.59 states/eV per cell
* crystal system: tetragonal
* electronic total energy: -19.428 eV/cell

Structure (POSCAR):
```
Tm2MnCd
1.0
-3.423 -0.429 -0.185
0.268 -0.678 -3.377
0.854 -7.496 1.572
Mn Cd Tm
1 1 2
direct
0.500 0.500 0.000
0.500 0.500 0.500
0.000 0.000 0.223
0.000 0.000 0.777
```

=====

# 2
Te2IrS: relaxed, PBE.

Properties
* DOS at the Fermi energy: 2.02 states/eV per cell
* crystal system: trigonal
* electronic total energy: -19.222 eV/cell

Structure (POSCAR):
```
Te2IrS
1.0
-5.610 5.660 -0.615
-7.540 2.462 0.985
-5.336 4.906 3.368
Te Ir S
2 1 1
direct
0.110 0.110 0.110
0.890 0.890 0.890
0.500 0.500 0.500
0.000 0.000 0.000
```